CoOs2F | PBE with a Hubbard U | relaxed

POSCAR file:
```
CoOs2F
1.0
0.000 2.889 2.889
2.889 0.000 2.889
2.889 2.889 0.000
Co Os F
1 2 1
Cartesian
0.000 0.000 0.000
1.445 1.445 1.445
4.334 4.334 4.334
2.889 2.889 2.889
```

Properties
Energy above the most stable polymorph in this dataset: 0.000 eV/atom
DFT total energy: -26.21 eV per cell
Fermi-level density of states: 3.22 states/eV per cell